[1]
VASP calculation (PBE+U) on a relaxed structure of VAgPdO4.

Values from the calculation:
**Uncorrected energy**: -5.92 eV/atom
**Size of the total moment**: 0.00 μB/atom

CIF file:
```
data_VAgPdO4
_symmetry_space_group_name_H-M 'C m c m'
_symmetry_Int_Tables_number 63
_symmetry_space_group_name_Hall '-C 2c 2'
_cell_length_a 6.2801
_cell_length_b 8.9901
_cell_length_c 6.8086
_cell_angle_alpha 90.00
_cell_angle_beta 90.00
_cell_angle_gamma 90.00
loop_
_atom_site_label
_atom_site_type_symbol
_atom_site_fract_x
_atom_site_fract_y
_atom_site_fract_z
_atom_site_occupancy
V1 V 0.0000 0.1120 0.2500 1
Ag1 Ag 0.0000 0.5000 0.0000 1
Pd1 Pd 0.0000 0.2065 0.7500 1
O1 O 0.0000 0.2263 0.0427 1
O2 O 0.2335 0.9997 0.2500 1
```

[2]
VASP calculation (PBE+U) on a relaxed structure of VAg2PdO4.

Values from the calculation:
**Uncorrected energy**: -5.55 eV/atom
**Size of the total moment**: 0.00 μB/atom

CIF file:
```
data_VAg2PdO4
_symmetry_space_group_name_H-M 'P m n 21'
_symmetry_Int_Tables_number 31
_symmetry_space_group_name_Hall 'P 2ac -2'
_cell_length_a 6.8081
_cell_length_b 6.0853
_cell_length_c 5.9148
_cell_angle_alpha 90.00
_cell_angle_beta 90.00
_cell_angle_gamma 90.00
loop_
_atom_site_label
_atom_site_type_symbol
_atom_site_fract_x
_atom_site_fract_y
_atom_site_fract_z
_atom_site_occupancy
V1 V 0.0000 0.1175 0.0000 1
Ag1 Ag 0.2200 0.3551 0.4622 1
Pd1 Pd 0.0000 0.7485 0.4080 1
O1 O 0.0000 0.0959 0.3035 1
O2 O 0.0000 0.8572 0.8853 1
O3 O 0.2032 0.2712 0.9024 1
```

- uncorrected energy of number 1 (VAgPdO4)?
  -5.92 eV/atom

- Look up the uncorrected energy of the first one.
  -5.92 eV/atom